[1]
Density functional theory data (PBE) for an optimized crystal structure of NdHo2Au2.

Structure (extended XYZ):
```
10
Lattice="8.253 0.000 0.000 0.000 8.253 0.000 0.000 0.000 3.791" Properties=species:S:1:pos:R:3 pbc="T T T"
Nd 0.000 0.000 0.000
Nd 4.126 4.126 0.000
Ho 1.331 2.795 1.896
Ho 2.795 6.921 1.896
Ho 5.458 1.331 1.896
Ho 6.921 5.458 1.896
Au 1.078 5.204 0.000
Au 3.048 1.078 0.000
Au 5.204 7.175 0.000
Au 7.175 3.048 0.000
```

Properties
**SG**: P4/mbm

***

[2]
Density functional theory data (PBE) for an optimized crystal structure of Li3TcNi.

Structure (extended XYZ):
```
5
Lattice="4.619 0.000 0.000 0.000 4.619 0.000 0.000 0.000 4.619" Properties=species:S:1:pos:R:3 pbc="T T T"
Li 0.000 0.000 2.309
Li 0.000 2.309 0.000
Li 2.309 0.000 0.000
Tc 0.000 0.000 0.000
Ni 2.309 2.309 2.309
```

Properties
**Distance to the lowest polymorph of the same formula**: 0.446 eV per atom
**SG**: Pm-3m

***

[3]
Density functional theory data (PBE) for an optimized crystal structure of AcSm9Er2.

Structure (extended XYZ):
```
12
Lattice="5.141 0.000 0.000 0.000 5.141 0.000 0.000 0.000 15.442" Properties=species:S:1:pos:R:3 pbc="T T T"
Ac 0.000 0.000 0.000
Sm 0.000 2.571 2.689
Sm 0.000 2.571 7.721
Sm 0.000 2.571 12.753
Sm 2.571 0.000 2.689
Sm 2.571 0.000 7.721
Sm 2.571 0.000 12.753
Sm 2.571 2.571 0.000
Sm 2.571 2.571 5.221
Sm 2.571 2.571 10.221
Er 0.000 0.000 5.198
Er 0.000 0.000 10.244
```

Properties
**SG**: P4/mmm

***

The records above give, respectively, magnetization values of 0.00; 3.35; 0.00 μB per cell.
The records above give, respectively, energy of formation from the pure elements values of -3.42; 7.44; 0.36 eV/f.u..
The records above give, respectively, ρ values of 11.2; 3.0; 7.8 g/cm³.